A relaxed structure of LiNd2Ga, computed with PBE.

abc: 5.193 5.193 3.839
angles: 90.00 90.00 90.00
Sites, in units of the cell vectors:
Li: 0.000 0.000 0.000
Nd: 0.000 0.500 0.500
Nd: 0.500 0.000 0.500
Ga: 0.500 0.500 0.000

Properties
polymorph energy (0 for the lowest one): 18 meV/atom
crystal system: tetragonal
E_form: -0.276 eV per atom
VASP energy: -15.58 eV per cell
total moment: 0.00 μB/f.u.
mass density: 5.86 Mg/m³
symmetry: P4/mmm, No. 123